Entry a
Entry from the Alexandria database: Li5Mg2Rh after structural relaxation (GGA-PBE).

```
Li5Mg2Rh
1.0
5.839 0.000 0.000
0.000 11.638 0.000
0.000 0.000 4.123
Li Mg Rh
10 4 2
Cartesian
0.000 0.000 0.000
0.329 3.020 0.000
1.292 10.178 2.062
1.628 4.358 2.062
2.590 8.839 0.000
2.920 5.819 0.000
3.249 2.799 0.000
4.211 7.280 2.062
4.547 1.461 2.062
5.510 8.618 0.000
1.129 7.080 2.062
1.791 1.261 2.062
4.048 10.377 2.062
4.710 4.558 2.062
0.000 5.819 0.000
2.920 0.000 0.000
```

Properties
Calculated density (g/cm3): 2.2

***

Entry b
Entry from the Alexandria database: Li5Mg2Rh after structural relaxation (GGA-PBE).

```
Li5Mg2Rh
1.0
6.896 0.000 0.000
0.000 13.135 0.000
0.000 0.000 3.196
Li Mg Rh
10 4 2
Cartesian
0.000 0.000 0.000
0.056 3.175 0.000
1.520 5.085 1.598
1.928 11.653 1.598
3.393 9.743 0.000
3.448 6.568 0.000
3.504 3.393 0.000
4.968 1.483 1.598
5.377 8.050 1.598
6.841 9.961 0.000
1.484 8.055 1.598
1.965 1.488 1.598
4.932 11.648 1.598
5.413 5.080 1.598
0.000 6.568 0.000
3.448 0.000 0.000
```

Properties
Calculated density (g/cm3): 2.1

***

Stability summary: most stable entry b, least stable entry a.

***

Entry a
Entry from the Alexandria database: LiMg3Rh2 after structural relaxation (GGA-PBE).

```
LiMg3Rh2
1.0
4.474 0.000 0.000
-2.237 3.875 0.000
0.000 0.000 10.950
Li Mg Rh
2 6 4
Cartesian
0.000 2.583 1.852
2.237 1.292 9.098
0.000 0.000 2.815
0.000 0.000 8.135
0.000 2.583 4.628
0.000 2.583 10.025
2.237 1.292 0.924
2.237 1.292 6.322
0.000 0.000 0.000
0.000 0.000 5.475
0.000 2.583 7.333
2.237 1.292 3.617
```

Properties
Calculated density (g/cm3): 5.0

***

Entry b
Entry from the Alexandria database: LiMg3Rh2 after structural relaxation (GGA-PBE).

```
LiMg3Rh2
1.0
3.206 0.000 0.000
0.000 3.206 0.000
0.000 0.000 9.621
Li Mg Rh
1 3 2
Cartesian
0.000 0.000 0.000
1.603 1.603 1.872
1.603 1.603 4.811
1.603 1.603 7.749
0.000 0.000 3.242
0.000 0.000 6.380
```

Properties
Calculated density (g/cm3): 4.8

***

Stability summary: most stable entry a, least stable entry b.

***

Entry a
Entry from the Alexandria database: LiMg2TcRh after structural relaxation (GGA-PBE).

```
LiMg2TcRh
1.0
4.435 0.000 0.000
0.000 4.435 0.000
0.000 0.000 4.118
Li Mg Tc Rh
1 2 1 1
Cartesian
0.000 0.000 0.000
0.000 2.218 0.000
2.218 0.000 0.000
2.218 2.218 2.059
0.000 0.000 2.059
```

Properties
Calculated density (g/cm3): 5.3

***

Entry b
Entry from the Alexandria database: LiMg2TcRh after structural relaxation (GGA-PBE).

```
LiMg2TcRh
1.0
4.356 0.000 0.000
0.000 4.356 0.000
0.000 0.000 4.256
Li Mg Tc Rh
1 2 1 1
Cartesian
0.000 0.000 0.000
0.000 2.178 0.000
2.178 0.000 0.000
0.000 0.000 2.128
2.178 2.178 2.128
```

Properties
Calculated density (g/cm3): 5.3

***

Stability summary: most stable entry a, least stable entry b.

***

Entry a
Entry from the Alexandria database: LiMgRu3 after structural relaxation (GGA-PBE).

```
LiMgRu3
1.0
4.181 0.000 0.000
0.000 4.181 0.000
0.000 0.000 4.181
Li Mg Ru
1 1 3
Cartesian
0.000 0.000 0.000
2.091 2.091 2.091
0.000 0.000 2.091
0.000 2.091 0.000
2.091 0.000 0.000
```

Properties
Calculated density (g/cm3): 7.6

***

Entry b
Entry from the Alexandria database: LiMgRu3 after structural relaxation (GGA-PBE).

```
LiMgRu3
1.0
4.564 0.000 0.000
0.000 4.564 0.000
0.000 0.000 4.564
Li Mg Ru
1 1 3
Cartesian
0.000 0.000 0.000
2.282 2.282 2.282
0.000 2.282 2.282
2.282 0.000 2.282
2.282 2.282 0.000
```

Properties
Calculated density (g/cm3): 5.8

***

Stability summary: most stable entry a, least stable entry b.

***

Entry a
Entry from the Alexandria database: Li3MgS after structural relaxation (GGA-PBE).

```
Li3MgS
1.0
4.682 0.000 0.000
0.000 4.682 0.000
0.000 0.000 4.682
Li Mg S
3 1 1
Cartesian
0.000 0.000 2.341
0.000 2.341 0.000
2.341 0.000 0.000
2.341 2.341 2.341
0.000 0.000 0.000
```

Properties
Calculated density (g/cm3): 1.2

***

Entry b
Entry from the Alexandria database: Li3MgS after structural relaxation (GGA-PBE).

```
Li3MgS
1.0
4.940 0.000 0.000
0.000 4.940 0.000
0.000 0.000 4.940
Li Mg S
3 1 1
Cartesian
0.000 0.000 2.470
0.000 2.470 0.000
2.470 0.000 0.000
0.000 0.000 0.000
2.470 2.470 2.470
```

Properties
Calculated density (g/cm3): 1.1

***

Stability summary: most stable entry a, least stable entry b.

***

Entry a
Entry from the Alexandria database: LiMg6Sb after structural relaxation (GGA-PBE).

```
LiMg6Sb
1.0
5.027 0.000 0.000
0.000 3.149 5.687
0.000 -3.149 5.687
Li Mg Sb
1 6 1
Cartesian
0.000 0.000 0.000
0.000 -1.567 2.834
0.000 1.567 2.834
2.514 -1.628 4.694
2.514 0.000 1.838
2.514 0.000 7.618
2.514 1.628 4.694
0.000 0.000 5.654
```

Properties
Calculated density (g/cm3): 2.5

***

Entry b
Entry from the Alexandria database: LiMg6Sb after structural relaxation (GGA-PBE).

```
LiMg6Sb
1.0
5.035 0.000 0.000
0.000 3.227 5.525
0.000 -3.227 5.525
Li Mg Sb
1 6 1
Cartesian
0.000 0.000 0.000
0.000 0.000 5.500
0.000 -1.572 8.323
0.000 1.572 8.323
2.518 -1.634 4.622
2.518 0.000 7.361
2.518 1.634 4.622
2.518 0.000 1.790
```

Properties
Calculated density (g/cm3): 2.5

***

Stability summary: most stable entry b, least stable entry a.